VASP calculation (SCAN) on a PBEsol-optimized structure of MnRe2Se.

a b c (Å): 2.899 4.321 5.027
angles (deg): 115.45 106.76 90.00
Fractional positions:
Re 0.995 0.995 0.991
Re 0.770 0.270 0.539
Se 0.510 0.510 0.021
Mn 0.225 0.725 0.450

Properties
* crystal system: orthorhombic
* space-group type: Imm2, No. 44
* uncorrected formation energy: 0.41 eV/atom